DFT (GGA-PBE) results for a geometry-optimized MnIrBr structure.

Calculated values
**Total energy**: -6.2292 eV per atom
**Formation energy from raw total energies**: 0.34 eV per atom
**Energy above the most stable polymorph in this dataset**: 0.000 eV/atom
**Space group**: P3m1, No. 156
**Fermi-level density of states**: 1.782 states/eV/cell

Lattice parameters (Å, degrees): 3.202 3.202 6.186 90.00 90.00 120.00
Atoms (fractional coordinates):
Mn1 0.000 0.000 0.000
Ir1 0.333 0.667 0.733
Br1 0.667 0.333 0.295